HoZnPtRh | PBE-GGA | optimized geometry

```
HoZnPtRh
1.0
3.713 0.000 0.000
0.000 4.226 0.000
0.000 0.000 4.333
Ho Zn Pt Rh
1 1 1 1
Direct
0.000 0.000 0.000
0.000 0.500 0.500
0.500 0.000 0.500
0.500 0.500 0.000
```

Calculated values
- Space group: No. 47
- Energy of formation from the pure elements: -0.838 eV/atom
- Offset from the most stable computed form: 0 meV/atom
- Electronic total energy: -5.6492 eV/atom

=====

Pr6In3Bi | PBE-GGA | optimized geometry

```
Pr6In3Bi
1.0
5.575 -7.732 0.000
5.575 7.732 0.000
0.000 0.000 7.746
Pr In Bi
12 6 2
Direct
0.031 0.969 0.500
0.125 0.501 0.998
0.226 0.314 0.349
0.300 0.700 0.465
0.314 0.226 0.849
0.499 0.875 0.998
0.501 0.125 0.498
0.686 0.774 0.349
0.700 0.300 0.965
0.774 0.686 0.849
0.875 0.499 0.498
0.969 0.031 0.000
0.003 0.275 0.697
0.275 0.003 0.197
0.477 0.523 0.096
0.523 0.477 0.596
0.725 0.997 0.697
0.997 0.725 0.197
0.168 0.832 0.811
0.832 0.168 0.311
```

Calculated values
- Space group: No. 36
- Energy of formation from the pure elements: -0.332 eV/atom
- Electronic total energy: -4.4093 eV/atom

=====

CaMg2Tc | PBE-GGA | optimized geometry

```
CaMg2Tc
1.0
1.568 0.905 10.184
-1.568 0.905 10.184
0.000 -1.810 10.184
Ca Mg Tc
1 2 1
Direct
0.000 0.000 0.000
0.237 0.237 0.237
0.763 0.763 0.763
0.500 0.500 0.500
```

Calculated values
- Space group: No. 166
- Energy of formation from the pure elements: 0.436 eV/atom
- Offset from the most stable computed form: 149 meV/atom
- Electronic total energy: -3.4529 eV/atom

=====

NbVAu3 | PBE-GGA | optimized geometry

```
NbVAu3
1.0
4.841 0.000 0.000
0.000 4.841 0.000
0.000 0.000 4.841
Nb V Au
1 1 3
Direct
0.000 0.000 0.000
0.500 0.500 0.500
0.000 0.500 0.500
0.500 0.000 0.500
0.500 0.500 0.000
```

Calculated values
- Space group: No. 221
- Energy of formation from the pure elements: 1.107 eV/atom
- Offset from the most stable computed form: 0 meV/atom
- Electronic total energy: -4.6969 eV/atom

=====

BeGa2Fe2 | PBE-GGA | optimized geometry

```
BeGa2Fe2
1.0
5.650 0.000 0.000
0.000 5.650 0.000
0.000 0.000 3.791
Be Ga Fe
2 4 4
Direct
0.000 0.000 0.000
0.500 0.500 0.000
0.167 0.333 0.500
0.333 0.833 0.500
0.667 0.167 0.500
0.833 0.667 0.500
0.144 0.644 0.000
0.356 0.144 0.000
0.644 0.856 0.000
0.856 0.356 0.000
```

Calculated values
- Space group: No. 127
- Energy of formation from the pure elements: -0.057 eV/atom
- Offset from the most stable computed form: 0 meV/atom
- Electronic total energy: -5.3985 eV/atom

=====

AcTbPr6Dy2 | PBE-GGA | optimized geometry

```
AcTbPr6Dy2
1.0
4.733 -7.784 0.000
4.733 7.784 0.000
-1.091 0.000 9.801
Ac Tb Pr Dy
2 2 12 4
Direct
0.028 0.972 0.750
0.972 0.028 0.250
0.412 0.588 0.250
0.588 0.412 0.750
0.008 0.555 0.684
0.120 0.754 0.054
0.246 0.880 0.446
0.293 0.510 0.882
0.445 0.992 0.816
0.490 0.707 0.618
0.510 0.293 0.382
0.555 0.008 0.184
0.707 0.490 0.118
0.754 0.120 0.554
0.880 0.246 0.946
0.992 0.445 0.316
0.203 0.310 0.547
0.310 0.203 0.047
0.690 0.797 0.953
0.797 0.690 0.453
```

Calculated values
- Space group: No. 15
- Energy of formation from the pure elements: 0.117 eV/atom
- Electronic total energy: -4.5454 eV/atom

=====

AgPW2 | PBE-GGA | optimized geometry

```
AgPW2
1.0
2.751 -4.303 0.000
2.751 4.303 0.000
-0.835 0.000 2.649
Ag P W
1 1 2
Direct
0.000 0.000 0.000
0.500 0.500 0.000
0.000 0.500 0.500
0.500 0.000 0.500
```

Calculated values
- Space group: No. 12
- Energy of formation from the pure elements: 0.673 eV/atom
- Offset from the most stable computed form: 393 meV/atom
- Electronic total energy: -7.8684 eV/atom

=====

Cr2CoMo2 | PBE-GGA | optimized geometry

```
Cr2CoMo2
1.0
6.937 0.000 0.000
0.000 6.937 0.000
0.000 0.000 2.934
Cr Co Mo
4 2 4
Direct
0.151 0.349 0.000
0.349 0.849 0.000
0.651 0.151 0.000
0.849 0.651 0.000
0.000 0.000 0.500
0.500 0.500 0.500
0.152 0.652 0.500
0.348 0.152 0.500
0.652 0.848 0.500
0.848 0.348 0.500
```

Calculated values
- Space group: No. 127
- Energy of formation from the pure elements: 0.655 eV/atom
- Offset from the most stable computed form: 0 meV/atom
- Electronic total energy: -8.9482 eV/atom

=====

LiI | PBE-GGA | optimized geometry

```
LiI
1.0
7.739 0.000 0.000
0.000 7.739 0.000
0.000 0.000 4.643
Li I
4 4
Direct
0.166 0.166 0.000
0.334 0.666 0.500
0.666 0.334 0.500
0.834 0.834 0.000
0.195 0.805 0.000
0.305 0.305 0.500
0.695 0.695 0.500
0.805 0.195 0.000
```

Calculated values
- Space group: No. 136
- Offset from the most stable computed form: 8 meV/atom
- Electronic total energy: -2.9412 eV/atom

=====

NaPa2NbO8 | PBE-GGA | optimized geometry

```
NaPa2NbO8
1.0
3.503 -3.505 0.000
3.503 3.505 0.000
0.000 0.000 7.088
Na Pa Nb O
1 2 1 8
Direct
0.000 0.000 0.000
0.500 0.500 0.247
0.500 0.500 0.753
0.000 0.000 0.500
0.196 0.804 0.293
0.196 0.804 0.707
0.296 0.296 0.500
0.321 0.321 0.000
0.679 0.679 0.000
0.704 0.704 0.500
0.804 0.196 0.293
0.804 0.196 0.707
```

Calculated values
- Space group: No. 65
- Electronic total energy: -8.8839 eV/atom

=====

Ta2ReBr | PBE-GGA | optimized geometry

```
Ta2ReBr
1.0
0.000 3.275 3.275
3.275 0.000 3.275
3.275 3.275 0.000
Ta Re Br
2 1 1
Direct
0.250 0.250 0.250
0.750 0.750 0.750
0.000 0.000 0.000
0.500 0.500 0.500
```

Calculated values
- Space group: No. 225
- Offset from the most stable computed form: 576 meV/atom
- Electronic total energy: -8.7018 eV/atom

=====

CeTmGe2 | PBE-GGA | optimized geometry

```
CeTmGe2
1.0
2.184 1.261 6.377
-2.184 1.261 6.377
0.000 -2.522 6.377
Ce Tm Ge
1 1 2
Direct
0.000 0.000 0.000
0.825 0.825 0.825
0.420 0.420 0.420
0.574 0.574 0.574
```

Calculated values
- Space group: No. 160
- Energy of formation from the pure elements: -0.573 eV/atom
- Electronic total energy: -5.4835 eV/atom